VASP calculation (PBE) on a geometry-optimized Be2CrIr2 structure.

abc: 6.625 6.625 2.802
angles: 90.00 90.00 90.00
Fractional positions:
Be  0.152  0.348  0.000
Be  0.348  0.848  0.000
Be  0.652  0.152  0.000
Be  0.848  0.652  0.000
Cr  0.000  0.000  0.500
Cr  0.500  0.500  0.500
Ir  0.145  0.645  0.500
Ir  0.355  0.145  0.500
Ir  0.645  0.855  0.500
Ir  0.855  0.355  0.500

Output
Crystal system: tetragonal
Formation enthalpy at 0 K (eV/atom): -0.140

VASP calculation (PBE) on a geometry-optimized SmSn2Rh2 structure.

abc: 6.745 6.745 5.520
angles: 108.11 108.11 87.21
Fractional positions:
Sm  0.141  0.859  0.750
Sm  0.859  0.141  0.250
Sn  0.175  0.386  0.902
Sn  0.386  0.175  0.402
Sn  0.614  0.825  0.598
Sn  0.825  0.614  0.098
Rh  0.212  0.788  0.250
Rh  0.449  0.551  0.750
Rh  0.551  0.449  0.250
Rh  0.788  0.212  0.750

Output
Crystal system: monoclinic
Formation enthalpy at 0 K (eV/atom): -0.556

VASP calculation (PBE) on a geometry-optimized Na2GaBiTe4 structure.

abc: 6.937 6.937 6.937
angles: 106.71 106.71 115.15
Fractional positions:
Na  0.000  0.500  0.500
Na  0.500  0.000  0.500
Ga  0.000  0.000  0.000
Bi  0.500  0.500  0.000
Te  0.025  0.397  0.000
Te  0.397  0.025  0.000
Te  0.603  0.603  0.628
Te  0.975  0.975  0.372

Output
Energy relative to the elements, uncorrected (eV/atom): -0.49
Crystal system: tetragonal

VASP calculation (PBE) on a geometry-optimized Y2ZnPd2 structure.

abc: 8.094 8.094 8.094
angles: 152.36 152.36 39.49
Fractional positions:
Y  0.111  0.111  0.000
Y  0.889  0.889  0.000
Zn  0.500  0.500  0.000
Pd  0.250  0.750  0.500
Pd  0.750  0.250  0.500

Output
Crystal system: tetragonal
Formation enthalpy at 0 K (eV/atom): -0.470

VASP calculation (PBE) on a geometry-optimized Cd2AsP structure.

abc: 4.876 4.876 4.876
angles: 60.00 60.00 60.00
Fractional positions:
Cd  0.250  0.250  0.250
Cd  0.750  0.750  0.750
As  0.000  0.000  0.000
P  0.500  0.500  0.500

Output
Crystal system: cubic
Formation enthalpy at 0 K (eV/atom): 0.390

VASP calculation (PBE) on a geometry-optimized Na2TlZnPb structure.

abc: 6.084 6.084 5.833
angles: 90.00 90.00 90.00
Fractional positions:
Na  0.000  0.500  0.000
Na  0.500  0.000  0.000
Tl  0.000  0.000  0.500
Zn  0.500  0.500  0.500
Pb  0.000  0.000  0.000

Output
Crystal system: tetragonal
Formation enthalpy at 0 K (eV/atom): 0.248

Number 1: raw total energy -7.10 eV/atom, size of the total moment 0.53 μB per atom, DOS(E_F) 0.850 states/eV per atom. Number 2: raw total energy -6.04 eV/atom, size of the total moment 0.00 μB per atom, DOS(E_F) 0.440 states/eV per atom. Number 3: raw total energy -3.25 eV/atom, size of the total moment 0.00 μB per atom, DOS(E_F) 0.010 states/eV per atom. Number 4: raw total energy -5.39 eV/atom, size of the total moment 0.00 μB per atom, DOS(E_F) 0.462 states/eV per atom. Number 5: raw total energy -2.58 eV/atom, size of the total moment 0.00 μB per atom, DOS(E_F) 0.644 states/eV per atom. Number 6: raw total energy -1.75 eV/atom, size of the total moment 0.00 μB per atom, DOS(E_F) 0.204 states/eV per atom.